(1)
The following is a DFT calculation (PBE) of an optimized crystal structure of PmSm3Dy2Er6.

a = 6.160 Å, b = 6.160 Å, c = 11.728 Å
α = 95.01°, β = 95.01°, γ = 119.97°
Sites, in units of the cell vectors:
Pm1 0.000 0.000 0.000
Sm1 0.167 0.833 0.500
Sm2 0.833 0.167 0.500
Sm3 0.500 0.500 0.500
Dy1 0.333 0.667 0.000
Dy2 0.667 0.333 0.000
Er1 0.917 0.583 0.751
Er2 0.750 0.750 0.249
Er3 0.083 0.417 0.249
Er4 0.583 0.917 0.751
Er5 0.250 0.250 0.751
Er6 0.417 0.083 0.249

Calculated volume (Å³/atom): 31.6
Total DFT energy (no corrections) (eV/cell): -55.282
Formation energy from the elements (eV per formula unit): 0.21
Symmetry: No. 12
Crystal system: monoclinic

(2)
The following is a DFT calculation (PBE) of an optimized crystal structure of Dy2Zn3Cu4.

a = 5.363 Å, b = 7.584 Å, c = 7.918 Å
α = 90.00°, β = 109.79°, γ = 90.00°
Sites, in units of the cell vectors:
Dy1 0.110 0.588 0.221
Dy2 0.890 0.412 0.779
Dy3 0.390 0.088 0.779
Dy4 0.610 0.912 0.221
Zn1 0.000 0.000 0.000
Zn2 0.500 0.500 0.000
Zn3 0.523 0.750 0.545
Zn4 0.977 0.250 0.455
Zn5 0.477 0.250 0.455
Zn6 0.023 0.750 0.545
Cu1 0.690 0.750 0.880
Cu2 0.810 0.250 0.120
Cu3 0.310 0.250 0.120
Cu4 0.190 0.750 0.880
Cu5 0.179 0.981 0.359
Cu6 0.821 0.019 0.641
Cu7 0.321 0.481 0.641
Cu8 0.679 0.519 0.359

Calculated volume (Å³/atom): 16.8
Total DFT energy (no corrections) (eV/cell): -62.960
Formation energy from the elements (eV per formula unit): -2.07
Symmetry: No. 64
Crystal system: orthorhombic

(3)
The following is a DFT calculation (PBE) of an optimized crystal structure of LaPrHoZn.

a = 5.503 Å, b = 5.503 Å, c = 5.503 Å
α = 60.00°, β = 60.00°, γ = 60.00°
Sites, in units of the cell vectors:
Pr1 0.250 0.250 0.250
Zn1 0.000 0.000 0.000
Ho1 0.500 0.500 0.500
La1 0.750 0.750 0.750

Calculated volume (Å³/atom): 29.5
Total DFT energy (no corrections) (eV/cell): -15.503
Formation energy from the elements (eV per formula unit): 0.06
Symmetry: No. 216
Crystal system: cubic
Offset from the most stable computed form (eV per atom): 0.167

(4)
The following is a DFT calculation (PBE) of an optimized crystal structure of GaNi2Pt5.

a = 3.921 Å, b = 5.451 Å, c = 10.793 Å
α = 90.00°, β = 90.00°, γ = 90.00°
Sites, in units of the cell vectors:
Ga1 0.000 0.000 0.500
Ga2 0.000 0.500 0.000
Ni1 0.500 0.281 0.367
Ni2 0.500 0.719 0.633
Ni3 0.500 0.219 0.867
Ni4 0.500 0.781 0.133
Pt1 0.500 0.276 0.116
Pt2 0.500 0.724 0.884
Pt3 0.500 0.776 0.384
Pt4 0.500 0.224 0.616
Pt5 0.000 0.968 0.742
Pt6 0.000 0.032 0.258
Pt7 0.000 0.468 0.758
Pt8 0.000 0.532 0.242
Pt9 0.000 0.500 0.500
Pt10 0.000 0.000 0.000

Calculated volume (Å³/atom): 14.4
Total DFT energy (no corrections) (eV/cell): -93.823
Formation energy from the elements (eV per formula unit): -2.12
Symmetry: No. 55
Crystal system: orthorhombic
Offset from the most stable computed form (eV per atom): 0.000